VASP calculation (PBE) on KMnZn2Si after structural relaxation.

The value obtained for the calculated volume is 143 Å³/cell. The value obtained for the density of states at the Fermi level is 2.78 states/eV per cell. The value obtained for the magnetization is 4.63 μB per cell. The total energy is -14.198 eV per cell. The formation energy (no corrections) comes out at 808 meV per atom.

Cell: 4.801 4.801 6.209 Å, 90.00 90.00 90.00°
Sites, in units of the cell vectors:
1 K 0.000 0.000 0.000
2 Mn 0.500 0.500 0.000
3 Zn 0.000 0.500 0.500
4 Zn 0.500 0.000 0.500
5 Si 0.000 0.000 0.500